Entry 1:
## Ca3AcOs (GGA-PBE)

Data for crystalline Ca3AcOs at its relaxed geometry.

Cell and atoms, written as POSCAR:
```
Ca3AcOs
1.0
4.308 0.000 0.000
0.000 11.509 4.027
0.000 -11.509 4.027
Ca Ac Os
6 2 2
direct
0.250 0.027 0.433
0.250 0.065 0.935
0.250 0.598 0.922
0.750 0.433 0.027
0.750 0.922 0.598
0.750 0.935 0.065
0.250 0.541 0.392
0.750 0.392 0.541
0.250 0.701 0.748
0.750 0.748 0.701
```

## Properties
electronic total energy: -4.14 eV/atom
ΔE_f: 127 meV/atom
theoretical density: 4.469 g cm⁻³

=====

Entry 2:
## Zr2NiPt (GGA-PBE)

Data for crystalline Zr2NiPt at its relaxed geometry.

Cell and atoms, written as POSCAR:
```
Zr2NiPt
1.0
8.918 0.000 0.000
0.000 3.488 0.000
-3.785 0.000 5.051
Zr Ni Pt
4 2 2
direct
0.000 0.000 0.000
0.111 0.000 0.591
0.500 0.500 0.000
0.611 0.500 0.591
0.261 0.500 0.457
0.761 0.000 0.457
0.360 0.000 0.169
0.860 0.500 0.169
```

## Properties
electronic total energy: -7.70 eV/atom
ΔE_f: -470 meV/atom
theoretical density: 9.222 g cm⁻³

=====

Entry 3:
## SnGeMo2 (GGA-PBE)

Data for crystalline SnGeMo2 at its relaxed geometry.

Cell and atoms, written as POSCAR:
```
SnGeMo2
1.0
6.467 0.000 0.000
0.000 6.467 0.000
0.000 0.000 6.467
Sn Ge Mo
4 4 8
direct
0.000 0.000 0.000
0.000 0.500 0.500
0.500 0.000 0.500
0.500 0.500 0.000
0.000 0.000 0.500
0.000 0.500 0.000
0.500 0.000 0.000
0.500 0.500 0.500
0.250 0.250 0.250
0.250 0.250 0.750
0.250 0.750 0.250
0.250 0.750 0.750
0.750 0.250 0.250
0.750 0.250 0.750
0.750 0.750 0.250
0.750 0.750 0.750
```

## Properties
electronic total energy: -7.26 eV/atom
energy relative to the lowest polymorph listed for this composition: 60 meV/atom
ΔE_f: 315 meV/atom
theoretical density: 9.410 g cm⁻³

=====

Entry 4:
## Tl5SnHg (GGA-PBE)

Data for crystalline Tl5SnHg at its relaxed geometry.

Cell and atoms, written as POSCAR:
```
Tl5SnHg
1.0
5.972 -3.365 0.000
5.972 3.365 0.000
-0.958 0.000 11.033
Tl Sn Hg
10 2 2
direct
0.111 0.344 0.703
0.200 0.800 0.750
0.298 0.421 0.982
0.344 0.111 0.203
0.421 0.298 0.482
0.579 0.702 0.518
0.656 0.889 0.797
0.702 0.579 0.018
0.800 0.200 0.250
0.889 0.656 0.297
0.332 0.668 0.250
0.668 0.332 0.750
0.000 0.000 0.000
0.000 0.000 0.500
```

## Properties
electronic total energy: -2.24 eV/atom
energy relative to the lowest polymorph listed for this composition: 31 meV/atom
ΔE_f: 62 meV/atom
theoretical density: 10.046 g cm⁻³

=====

> Among the records above, which one has the highest electronic total energy?

Tl5SnHg

=====

> Look up the electronic total energy of the fourth one.

-2.24 eV/atom